Run P
Entry from Alexandria via LeMat-Bulk: a geometry-optimized BaMnAs3 structure (PBE).

a = 4.840 Å, b = 4.840 Å, c = 4.840 Å
α = 90.00°, β = 90.00°, γ = 90.00°
Element x y z (fractional)
Ba: 0.000 0.000 0.000
Mn: 0.500 0.500 0.500
As: 0.000 0.500 0.500
As: 0.500 0.000 0.500
As: 0.500 0.500 0.000



Run Q
Entry from Alexandria via LeMat-Bulk: a geometry-optimized BaMnAs3 structure (PBE).

a = 5.719 Å, b = 5.719 Å, c = 5.719 Å
α = 90.00°, β = 90.00°, γ = 90.00°
Element x y z (fractional)
Ba: 0.000 0.000 0.000
Mn: 0.500 0.500 0.500
As: 0.000 0.000 0.500
As: 0.000 0.500 0.000
As: 0.500 0.000 0.000



Most favorable structure: run P. The second most favorable one is 2174 meV/atom above it.